[1]
Computed, not measured: a crystal of BeTcRh3 relaxed with PBEsol at the meta-GGA SCAN level of DFT.

Unit cell a=4.0331 b=4.0331 c=4.0331 alpha=90.00 beta=90.00 gamma=90.00
Each line ends with the local moment (μB).
Atoms (fractional coordinates):
1 Be 0.0000 0.0000 0.0000  -0.03
2 Rh 0.0000 0.5000 0.0000  0.41
3 Rh 0.0000 0.0000 0.5000  0.41
4 Rh 0.5000 0.0000 0.0000  0.41
5 Tc 0.5000 0.5000 0.5000  2.42

Formation energy from the elements in eV per atom: 0.27

=====

[2]
Computed, not measured: a crystal of MgTaF3 relaxed with PBEsol at the meta-GGA SCAN level of DFT.

Unit cell a=4.2579 b=4.2579 c=4.2579 alpha=90.00 beta=90.00 gamma=90.00
Each line ends with the local moment (μB).
Atoms (fractional coordinates):
1 Mg 0.5000 0.5000 0.5000  0.02
2 F 0.0000 0.5000 0.0000  0.05
3 F 0.0000 0.0000 0.5000  0.05
4 F 0.5000 0.0000 0.0000  0.05
5 Ta 0.0000 0.0000 0.0000  1.64

Uncorrected formation energy in kJ/mol of atoms: -152.0

=====

[3]
Computed, not measured: a crystal of Na3CaMg3AlF14 relaxed with PBEsol at the meta-GGA SCAN level of DFT.

Unit cell a=7.1607 b=7.1607 c=7.1929 alpha=60.15 beta=60.15 gamma=60.00
Each line ends with the local moment (μB).
Atoms (fractional coordinates):
1 Na 0.5000 0.0000 0.5000  0.00
2 Na 0.0000 0.0000 0.5000  0.00
3 Na 0.0000 0.5000 0.5000  0.00
4 Ca 0.0000 0.0000 0.0000  0.00
5 Mg 0.5000 0.0000 0.0000  0.00
6 Mg 0.5000 0.5000 0.0000  0.00
7 Mg 0.0000 0.5000 0.0000  0.00
8 Al 0.5000 0.5000 0.5000  0.00
9 F 0.8318 0.4198 0.9166  0.01
10 F 0.8318 0.8318 0.9166  0.01
11 F 0.4198 0.8318 0.9166  0.01
12 F 0.1682 0.5802 0.0834  0.01
13 F 0.1682 0.1682 0.0834  0.01
14 F 0.5802 0.1682 0.0834  0.01
15 F 0.5628 0.2006 0.6739  0.01
16 F 0.5628 0.5628 0.6739  0.01
17 F 0.2006 0.5628 0.6739  0.01
18 F 0.4372 0.7994 0.3261  0.01
19 F 0.4372 0.4372 0.3261  0.01
20 F 0.7994 0.4372 0.3261  0.01
21 F 0.8760 0.8760 0.3720  0.09
22 F 0.1240 0.1240 0.6280  0.09

Uncorrected formation energy in kJ/mol of atoms: -353.6

=====

[4]
Computed, not measured: a crystal of Ta2AgSb relaxed with PBEsol at the meta-GGA SCAN level of DFT.

Unit cell a=2.9129 b=4.5351 c=5.6159 alpha=90.00 beta=101.30 gamma=90.00
Atoms (fractional coordinates):
1 Sb 0.4184 0.5000 0.7585
2 Ag 0.3403 0.0000 0.4842
3 Ta 0.9980 0.0000 0.9901
4 Ta 0.7433 0.5000 0.2672

Uncorrected formation energy in kJ/mol of atoms: 24.6

=====

[5]
Computed, not measured: a crystal of AlMoPt3 relaxed with PBEsol at the meta-GGA SCAN level of DFT.

Unit cell a=4.7522 b=4.7522 c=4.7522 alpha=90.00 beta=90.00 gamma=90.00
Atoms (fractional coordinates):
1 Mo 0.0000 0.0000 0.0000
2 Al 0.5000 0.5000 0.5000
3 Pt 0.0000 0.5000 0.0000
4 Pt 0.0000 0.0000 0.5000
5 Pt 0.5000 0.0000 0.0000

Formation energy from the elements in eV per atom: 1.11

=====

[6]
Computed, not measured: a crystal of ZnRu3 relaxed with PBEsol at the meta-GGA SCAN level of DFT.

Unit cell a=2.6937 b=2.6937 c=8.4923 alpha=90.00 beta=90.00 gamma=120.00
Atoms (fractional coordinates):
1 Ru 0.3333 0.6667 0.2429
2 Ru 0.3333 0.6667 0.7571
3 Ru 0.0000 0.0000 0.0000
4 Zn 0.0000 0.0000 0.5000

Formation energy from the elements in eV per atom: -0.02

=====

Electronic total energy: -27.876; -18.010; -7.962; -50.194; -49.533; -29.515 (eV/atom)
D(E_F): 4.295; 3.015; 0.000; 1.262; 4.773; 2.087 (states/eV/f.u.)
Magnetic moment: 3.5; 2.3; 0.3; 0.0; 0.0; 0.0 (μB/f.u.)